[1]
Entry from the Alexandria database: a relaxed structure of SrYFe (PBE).

Unit cell a=4.7620 b=4.7620 c=4.5649 alpha=90.00 beta=90.00 gamma=120.00
With the nearest neighbours (Å) after each atom.
Sites, in units of the cell vectors:
Sr: 0.0000 0.0000 0.0000  6 Fe 3.50-3.65, 6 Y 3.57-3.58
Y: 0.6667 0.3333 0.4975  3 Fe 2.75
Fe: 0.3333 0.6667 0.5270  3 Y 2.75

Computed properties:
formation energy	1.9	eV per formula unit
Fermi-level density of states	1.516	states/eV per atom
energy above the most stable polymorph in this dataset	0.2849	eV per atom

***

[2]
Entry from the Alexandria database: a relaxed structure of SrY2Fe (PBE).

Unit cell a=3.9579 b=3.9579 c=9.8700 alpha=100.97 beta=100.97 gamma=59.28
With the nearest neighbours (Å) after each atom.
Sites, in units of the cell vectors:
Sr: 0.0000 0.0000 0.0000  6 Sr 3.91-3.96, 6 Y 4.03-4.06
Y: 0.2174 0.2174 0.6523  3 Fe 2.71
Y: 0.7826 0.7826 0.3477  3 Fe 2.71
Fe: 0.5000 0.5000 0.5000  6 Y 2.71

Computed properties:
formation energy	0.9	eV per formula unit
Fermi-level density of states	1.107	states/eV per atom
energy above the most stable polymorph in this dataset	0.0832	eV per atom

***

[3]
Entry from the Alexandria database: a relaxed structure of Sr2YFe (PBE).

Unit cell a=5.0689 b=5.0689 c=8.8923 alpha=105.35 beta=105.35 gamma=43.74
With the nearest neighbours (Å) after each atom.
Sites, in units of the cell vectors:
Sr: 0.0000 0.0000 0.0000  2 Fe 3.23
Sr: 0.1622 0.1622 0.6036  2 Fe 3.23
Y: 0.3562 0.3562 0.3020  3 Fe 2.61-2.82
Fe: 0.6332 0.6332 0.3019  3 Y 2.61-2.82

Computed properties:
formation energy	1.6	eV per formula unit
Fermi-level density of states	1.410	states/eV per atom
energy above the most stable polymorph in this dataset	0.1066	eV per atom

***

[4]
Entry from the Alexandria database: a relaxed structure of SrYFe2 (PBE).

Unit cell a=3.7283 b=3.7493 c=6.9813 alpha=90.00 beta=90.00 gamma=90.00
With the nearest neighbours (Å) after each atom.
Sites, in units of the cell vectors:
Sr: 0.0000 0.0000 0.0000  2 Y 3.49, 8 Fe 3.52, 4 Sr 3.73-3.75
Y: 0.0000 0.0000 0.5000  8 Fe 2.89
Fe: 0.5000 0.5000 0.3320  1 Fe 2.35
Fe: 0.5000 0.5000 0.6680  1 Fe 2.35

Computed properties:
formation energy	1.5	eV per formula unit
Fermi-level density of states	1.523	states/eV per atom

***

[5]
Entry from the Alexandria database: a relaxed structure of Sr3YFe (PBE).

Unit cell a=5.7611 b=5.7611 c=5.7611 alpha=90.00 beta=90.00 gamma=90.00
With the nearest neighbours (Å) after each atom.
Sites, in units of the cell vectors:
Sr: 0.0000 0.0000 0.5000  2 Fe 2.88
Sr: 0.0000 0.5000 0.0000  2 Fe 2.88
Sr: 0.5000 0.0000 0.0000  2 Fe 2.88
Y: 0.5000 0.5000 0.5000  12 Sr 4.07
Fe: 0.0000 0.0000 0.0000  6 Sr 2.88

Computed properties:
formation energy	3.3	eV per formula unit
Fermi-level density of states	2.931	states/eV per atom
energy above the most stable polymorph in this dataset	0.0000	eV per atom

***

[6]
Entry from the Alexandria database: a relaxed structure of Sr4YFe (PBE).

Unit cell a=7.1627 b=7.1627 c=7.1627 alpha=60.00 beta=60.00 gamma=60.00
With the nearest neighbours (Å) after each atom.
Sites, in units of the cell vectors:
Sr: 0.1251 0.1251 0.1251  6 Sr 3.58
Sr: 0.1251 0.1251 0.6246  6 Sr 3.58
Sr: 0.1251 0.6246 0.1251  6 Sr 3.58
Sr: 0.6246 0.1251 0.1251  6 Sr 3.58
Y: 0.7500 0.7500 0.7500  12 Sr 4.20, 4 Fe 4.39
Fe: 0.5000 0.5000 0.5000  12 Sr 4.20, 4 Y 4.39

Computed properties:
formation energy	5.6	eV per formula unit
Fermi-level density of states	2.212	states/eV per atom

***

[7]
Entry from the Alexandria database: a relaxed structure of SrY2Fe (PBE).

Unit cell a=6.2560 b=6.2560 c=6.5491 alpha=119.94 beta=119.94 gamma=35.02
With the nearest neighbours (Å) after each atom.
Sites, in units of the cell vectors:
Sr: 0.0000 0.0000 0.0000  3 Fe 3.31-3.41
Y: 0.1799 0.1799 0.6738  2 Fe 2.66
Y: 0.3673 0.3673 0.3762  2 Fe 2.70
Fe: 0.7254 0.7254 0.4394  4 Y 2.66-2.70

Computed properties:
formation energy	1.3	eV per formula unit
Fermi-level density of states	1.285	states/eV per atom
energy above the most stable polymorph in this dataset	0.1684	eV per atom

***

[8]
Entry from the Alexandria database: a relaxed structure of SrYFe2 (PBE).

Unit cell a=4.9262 b=4.9262 c=4.9262 alpha=60.00 beta=60.00 gamma=60.00
With the nearest neighbours (Å) after each atom.
Sites, in units of the cell vectors:
Sr: 0.0000 0.0000 0.0000  4 Fe 3.02, 4 Y 3.02
Y: 0.2500 0.2500 0.2500  4 Fe 3.02, 4 Sr 3.02
Fe: 0.5000 0.5000 0.5000  4 Fe 3.02, 4 Y 3.02
Fe: 0.7500 0.7500 0.7500  4 Sr 3.02, 4 Fe 3.02

Computed properties:
formation energy	3.0	eV per formula unit
Fermi-level density of states	1.785	states/eV per atom

***

[9]
Entry from the Alexandria database: a relaxed structure of SrY2Fe (PBE).

Unit cell a=6.4783 b=6.4783 c=6.4783 alpha=147.48 beta=124.65 gamma=65.68
With the nearest neighbours (Å) after each atom.
Sites, in units of the cell vectors:
Sr: 0.0000 0.0000 0.0000  4 Fe 3.51, 8 Y 3.63-3.87, 2 Sr 3.63
Y: 0.3143 0.8143 0.5000  2 Fe 2.72
Y: 0.6857 0.1857 0.5000  2 Fe 2.72
Fe: 0.5000 0.5000 0.0000  4 Y 2.72

Computed properties:
formation energy	1.1	eV per formula unit
Fermi-level density of states	1.271	states/eV per atom
energy above the most stable polymorph in this dataset	0.1220	eV per atom

***

[10]
Entry from the Alexandria database: a relaxed structure of Sr2YFe (PBE).

Unit cell a=6.8803 b=6.8803 c=6.8803 alpha=148.08 beta=126.74 gamma=63.45
With the nearest neighbours (Å) after each atom.
Sites, in units of the cell vectors:
Sr: 0.0000 0.0000 0.0000  2 Fe 3.12
Sr: 0.6880 0.1880 0.5000  4 Fe 3.63, 2 Y 3.78, 4 Sr 3.78-3.79
Y: 0.3744 0.3744 0.0000  2 Fe 2.68
Fe: 0.2117 0.7117 0.5000  2 Y 2.68

Computed properties:
formation energy	1.6	eV per formula unit
Fermi-level density of states	1.571	states/eV per atom
energy above the most stable polymorph in this dataset	0.1174	eV per atom

***

[11]
Entry from the Alexandria database: a relaxed structure of SrY2Fe (PBE).

Unit cell a=7.2224 b=7.2224 c=7.2224 alpha=151.66 beta=138.23 gamma=51.25
With the nearest neighbours (Å) after each atom.
Sites, in units of the cell vectors:
Sr: 0.0000 0.0000 0.0000  2 Fe 3.14
Y: 0.3103 0.8103 0.5000  4 Fe 3.13, 2 Y 3.34
Y: 0.6465 0.6465 0.0000  2 Fe 2.68
Fe: 0.8008 0.3008 0.5000  2 Y 2.68

Computed properties:
formation energy	1.4	eV per formula unit
Fermi-level density of states	1.734	states/eV per atom
energy above the most stable polymorph in this dataset	0.2117	eV per atom

***

[12]
Entry from the Alexandria database: a relaxed structure of Sr3YFe (PBE).

Unit cell a=6.4934 b=6.4934 c=6.4934 alpha=90.00 beta=90.00 gamma=90.00
With the nearest neighbours (Å) after each atom.
Sites, in units of the cell vectors:
Sr: 0.0000 0.0000 0.5000  2 Y 3.25
Sr: 0.0000 0.5000 0.0000  2 Y 3.25
Sr: 0.5000 0.0000 0.0000  2 Y 3.25
Y: 0.0000 0.0000 0.0000  6 Sr 3.25
Fe: 0.5000 0.5000 0.5000  12 Sr 4.59

Computed properties:
formation energy	7.0	eV per formula unit
Fermi-level density of states	1.363	states/eV per atom
energy above the most stable polymorph in this dataset	0.7338	eV per atom

***

[13]
Entry from the Alexandria database: a relaxed structure of SrY2Fe (PBE).

Unit cell a=3.8104 b=8.4908 c=8.4908 alpha=27.64 beta=90.00 gamma=90.00
With the nearest neighbours (Å) after each atom.
Sites, in units of the cell vectors:
Sr: 0.0000 0.0000 0.0000  2 Fe 3.32
Y: 0.0000 0.6905 0.6905  4 Fe 2.82
Y: 0.5000 0.3218 0.3218  1 Fe 2.59
Fe: 0.5000 0.1645 0.1645  5 Y 2.59-2.82

Computed properties:
formation energy	1.1	eV per formula unit
Fermi-level density of states	1.243	states/eV per atom
energy above the most stable polymorph in this dataset	0.1185	eV per atom

***

[14]
Entry from the Alexandria database: a relaxed structure of SrYFe2 (PBE).

Unit cell a=6.7314 b=6.7314 c=6.7314 alpha=148.87 beta=140.89 gamma=50.81
With the nearest neighbours (Å) after each atom.
Sites, in units of the cell vectors:
Sr: 0.0000 0.0000 0.0000  4 Fe 3.22
Y: 0.2649 0.7649 0.5000  6 Fe 2.88-2.91
Fe: 0.6172 0.6172 0.0000  2 Fe 2.31
Fe: 0.7356 0.2356 0.5000  2 Fe 2.31

Computed properties:
formation energy	1.3	eV per formula unit
Fermi-level density of states	0.735	states/eV per atom

***

[15]
Entry from the Alexandria database: a relaxed structure of SrYFe (PBE).

Unit cell a=3.8757 b=3.8757 c=7.1108 alpha=90.00 beta=90.00 gamma=120.00
With the nearest neighbours (Å) after each atom.
Sites, in units of the cell vectors:
Sr: 0.0000 0.0000 0.0000  3 Fe 3.02
Y: 0.6667 0.3333 0.4902  3 Fe 2.75
Fe: 0.3333 0.6667 0.7141  3 Y 2.75, 3 Sr 3.02

Computed properties:
formation energy	1.5	eV per formula unit
Fermi-level density of states	1.310	states/eV per atom
energy above the most stable polymorph in this dataset	0.1564	eV per atom